An optimized crystal structure of Mg2Sc2TlCdAg2, computed with GGA-PBE.

Summary:
M_tot ... 0.00 μB/cell
Symmetry ... P-4m2, No. 115
Electronic total energy ... -3.35 eV per atom

Unit cell a=4.893 b=4.893 c=6.870 alpha=90.00 beta=90.00 gamma=90.00
Element x y z (fractional)
1 Ag 0.500 0.500 0.000
2 Ag 0.000 0.000 0.500
3 Cd 0.500 0.500 0.500
4 Mg 0.500 0.000 0.257
5 Mg 0.000 0.500 0.743
6 Sc 0.000 0.500 0.252
7 Sc 0.500 0.000 0.748
8 Tl 0.000 0.000 0.000

An optimized crystal structure of SrMgCdAg, computed with GGA-PBE.

Summary:
Energy relative to the lowest polymorph listed for this composition ... 66.2 kJ/mol of formula units
Symmetry ... Cmm2, No. 35

Unit cell a=11.541 b=11.541 c=6.202 alpha=90.00 beta=90.00 gamma=162.66
Element x y z (fractional)
1 Ag 0.798 0.202 0.688
2 Ag 0.202 0.798 0.688
3 Cd 0.561 0.439 0.047
4 Cd 0.439 0.561 0.047
5 Mg 0.690 0.310 0.056
6 Mg 0.310 0.690 0.056
7 Sr 0.592 0.408 0.546
8 Sr 0.408 0.592 0.546

An optimized crystal structure of SrMgCdAg, computed with GGA-PBE.

Summary:
Energy relative to the lowest polymorph listed for this composition ... 0.0 kJ/mol of formula units
Symmetry ... C2/m, No. 12

Unit cell a=10.609 b=10.609 c=6.468 alpha=102.69 beta=102.69 gamma=19.74
Element x y z (fractional)
1 Ag 0.767 0.767 0.175
2 Ag 0.233 0.233 0.825
3 Cd 0.549 0.549 0.374
4 Cd 0.451 0.451 0.626
5 Mg 0.690 0.690 0.493
6 Mg 0.310 0.310 0.507
7 Sr 0.392 0.392 0.070
8 Sr 0.608 0.608 0.930

An optimized crystal structure of SrMgCdAg, computed with GGA-PBE.

Summary:
Energy relative to the lowest polymorph listed for this composition ... 77.7 kJ/mol of formula units
Symmetry ... Amm2, No. 38

Unit cell a=5.892 b=10.639 c=10.639 alpha=28.62 beta=90.00 gamma=90.00
Element x y z (fractional)
1 Ag 0.000 0.115 0.115
2 Ag 0.000 0.538 0.538
3 Cd 0.268 0.412 0.412
4 Cd 0.732 0.412 0.412
5 Mg 0.248 0.650 0.650
6 Mg 0.752 0.650 0.650
7 Sr 0.000 0.266 0.266
8 Sr 0.000 0.958 0.958

An optimized crystal structure of TbMgCdAg, computed with GGA-PBE.

Summary:
M_tot ... 0.00 μB/cell
Symmetry ... F-43m, No. 216
Electronic total energy ... -2.79 eV per atom

Unit cell a=5.020 b=5.020 c=5.020 alpha=60.00 beta=60.00 gamma=60.00
Element x y z (fractional)
1 Ag 0.750 0.750 0.750
2 Cd 0.250 0.250 0.250
3 Mg 0.000 0.000 0.000
4 Tb 0.500 0.500 0.500

An optimized crystal structure of Y2MgCdAg4, computed with GGA-PBE.

Summary:
M_tot ... 0.01 μB/cell
Symmetry ... Pmm2, No. 25
Electronic total energy ... -3.65 eV per atom

Unit cell a=4.958 b=7.005 c=4.957 alpha=90.00 beta=90.00 gamma=90.00
Element x y z (fractional)
1 Ag 0.000 0.254 0.254
2 Ag 0.000 0.746 0.254
3 Ag 0.500 0.255 0.746
4 Ag 0.500 0.745 0.746
5 Cd 0.000 0.000 0.752
6 Mg 0.500 0.500 0.249
7 Y 0.500 0.000 0.246
8 Y 0.000 0.500 0.753

An optimized crystal structure of Y3Mg3Cd2Ag, computed with GGA-PBE.

Summary:
M_tot ... 0.04 μB/cell
Symmetry ... P-62m, No. 189
Electronic total energy ... -3.47 eV per atom

Unit cell a=7.700 b=7.700 c=4.336 alpha=90.00 beta=90.00 gamma=120.00
Element x y z (fractional)
1 Ag 0.000 0.000 0.000
2 Cd 0.667 0.333 0.500
3 Cd 0.333 0.667 0.500
4 Mg 0.240 0.000 0.500
5 Mg 0.000 0.240 0.500
6 Mg 0.760 0.760 0.500
7 Y 0.590 0.000 0.000
8 Y 0.410 0.410 0.000
9 Y 0.000 0.590 0.000

An optimized crystal structure of Y3Mg2CdAg3, computed with GGA-PBE.

Summary:
M_tot ... 0.01 μB/cell
Symmetry ... Amm2, No. 38
Electronic total energy ... -3.86 eV per atom

Unit cell a=4.059 b=7.748 c=7.748 alpha=119.58 beta=90.00 gamma=90.00
Element x y z (fractional)
1 Ag 0.000 0.011 0.011
2 Ag 0.500 0.664 0.324
3 Ag 0.500 0.324 0.664
4 Cd 0.500 0.746 0.746
5 Mg 0.500 0.251 0.002
6 Mg 0.500 0.002 0.251
7 Y 0.000 0.419 0.419
8 Y 0.000 0.991 0.591
9 Y 0.000 0.591 0.991

An optimized crystal structure of Y3Mg3CdAg2, computed with GGA-PBE.

Summary:
M_tot ... 0.00 μB/cell
Symmetry ... P-62m, No. 189
Electronic total energy ... -3.67 eV per atom

Unit cell a=7.695 b=7.695 c=4.247 alpha=90.00 beta=90.00 gamma=120.00
Element x y z (fractional)
1 Ag 0.667 0.333 0.500
2 Ag 0.333 0.667 0.500
3 Cd 0.000 0.000 0.000
4 Mg 0.252 0.000 0.500
5 Mg 0.000 0.252 0.500
6 Mg 0.748 0.748 0.500
7 Y 0.582 0.000 0.000
8 Y 0.418 0.418 0.000
9 Y 0.000 0.582 0.000

An optimized crystal structure of CdAg2Mo, computed with GGA-PBE.

Summary:
M_tot ... 2.07 μB/cell
Symmetry ... F-43m, No. 216
Energy of formation ... 0.575 eV/atom

Unit cell a=4.685 b=4.685 c=4.685 alpha=60.00 beta=60.00 gamma=60.00
Each line ends with the local moment (μB).
Element x y z (fractional)
1 Ag 0.000 0.000 0.000  0.00
2 Ag 0.250 0.250 0.250  0.04
3 Cd 0.750 0.750 0.750  0.01
4 Mo 0.500 0.500 0.500  1.89

An optimized crystal structure of CdAg2MoSeS3, computed with GGA-PBE.

Summary:
M_tot ... 1.63 μB/cell
Symmetry ... Cm, No. 8
Electronic total energy ... -4.41 eV per atom

Unit cell a=5.814 b=5.814 c=7.153 alpha=114.03 beta=114.03 gamma=89.42
Each line ends with the local moment (μB).
Element x y z (fractional)
1 Ag 0.731 0.258 0.490  0.03
2 Ag 0.258 0.731 0.490  0.03
3 Cd 0.998 0.998 0.007  0.03
4 Mo 0.509 0.509 0.007  1.20
5 S 0.848 0.392 0.237  0.01
6 S 0.392 0.848 0.237  0.01
7 S 0.616 0.616 0.773  0.01
8 Se 0.149 0.149 0.758  0.01

An optimized crystal structure of NaCd6Ag6, computed with GGA-PBE.

Summary:
Symmetry ... Immm, No. 71
Electronic total energy ... -1.91 eV per atom

Unit cell a=7.489 b=7.489 c=7.489 alpha=135.32 beta=99.19 gamma=97.43
Element x y z (fractional)
1 Ag 0.500 0.000 0.000
2 Ag 0.000 0.500 0.000
3 Ag 0.765 0.500 0.265
4 Ag 0.000 0.000 0.500
5 Ag 0.500 0.500 0.500
6 Ag 0.235 0.500 0.735
7 Cd 0.344 0.344 0.000
8 Cd 0.656 0.656 0.000
9 Cd 0.342 0.000 0.342
10 Cd 0.816 0.316 0.500
11 Cd 0.184 0.684 0.500
12 Cd 0.658 0.000 0.658
13 Na 0.000 0.000 0.000

An optimized crystal structure of NbCdAg, computed with GGA-PBE.

Summary:
Energy relative to the lowest polymorph listed for this composition ... 0.0 kJ/mol of formula units
M_tot ... 0.01 μB/cell
Symmetry ... F-43m, No. 216
Energy of formation ... 0.628 eV/atom

Unit cell a=4.476 b=4.476 c=4.476 alpha=60.00 beta=60.00 gamma=60.00
Element x y z (fractional)
1 Ag 0.000 0.000 0.000
2 Cd 0.250 0.250 0.250
3 Nb 0.750 0.750 0.750

An optimized crystal structure of NbCd2Ag, computed with GGA-PBE.

Summary:
M_tot ... 0.03 μB/cell
Symmetry ... F-43m, No. 216
Energy of formation ... 0.345 eV/atom

Unit cell a=4.766 b=4.766 c=4.766 alpha=60.00 beta=60.00 gamma=60.00
Element x y z (fractional)
1 Ag 0.750 0.750 0.750
2 Cd 0.250 0.250 0.250
3 Cd 0.500 0.500 0.500
4 Nb 0.000 0.000 0.000

An optimized crystal structure of Nb2CdAg, computed with GGA-PBE.

Summary:
M_tot ... 0.60 μB/cell
Symmetry ... F-43m, No. 216
Energy of formation ... 0.500 eV/atom

Unit cell a=4.740 b=4.740 c=4.740 alpha=60.00 beta=60.00 gamma=60.00
Each line ends with the local moment (μB).
Element x y z (fractional)
1 Ag 0.750 0.750 0.750  0.02
2 Cd 0.000 0.000 0.000  0.01
3 Nb 0.250 0.250 0.250  0.28
4 Nb 0.500 0.500 0.500  0.19

An optimized crystal structure of NbCdAg, computed with GGA-PBE.

Summary:
Energy relative to the lowest polymorph listed for this composition ... 76.6 kJ/mol of formula units
M_tot ... 0.00 μB/cell
Symmetry ... F-43m, No. 216
Energy of formation ... 0.892 eV/atom

Unit cell a=4.566 b=4.566 c=4.566 alpha=60.00 beta=60.00 gamma=60.00
Element x y z (fractional)
1 Ag 0.250 0.250 0.250
2 Cd 0.750 0.750 0.750
3 Nb 0.000 0.000 0.000

An optimized crystal structure of NbCdAg2, computed with GGA-PBE.

Summary:
M_tot ... 0.03 μB/cell
Symmetry ... F-43m, No. 216
Energy of formation ... 0.345 eV/atom

Unit cell a=4.701 b=4.701 c=4.701 alpha=60.00 beta=60.00 gamma=60.00
Element x y z (fractional)
1 Ag 0.000 0.000 0.000
2 Ag 0.250 0.250 0.250
3 Cd 0.500 0.500 0.500
4 Nb 0.750 0.750 0.750

An optimized crystal structure of NdCd8Ag4, computed with GGA-PBE.

Summary:
M_tot ... 0.00 μB/cell
Symmetry ... I4/mmm, No. 139
Energy of formation ... -0.163 eV/atom

Unit cell a=7.567 b=7.567 c=7.567 alpha=97.99 beta=97.99 gamma=136.22
Element x y z (fractional)
1 Ag 0.500 0.000 0.000
2 Ag 0.000 0.500 0.000
3 Ag 0.000 0.000 0.500
4 Ag 0.500 0.500 0.500
5 Cd 0.713 0.500 0.213
6 Cd 0.500 0.713 0.213
7 Cd 0.346 0.000 0.346
8 Cd 0.000 0.346 0.346
9 Cd 0.654 0.000 0.654
10 Cd 0.000 0.654 0.654
11 Cd 0.500 0.287 0.787
12 Cd 0.287 0.500 0.787
13 Nd 0.000 0.000 0.000

An optimized crystal structure of NdCdAg4, computed with GGA-PBE.

Summary:
M_tot ... 0.00 μB/cell
Symmetry ... F-43m, No. 216
Energy of formation ... -0.231 eV/atom

Unit cell a=5.640 b=5.640 c=5.640 alpha=60.00 beta=60.00 gamma=60.00
Element x y z (fractional)
1 Ag 0.626 0.626 0.123
2 Ag 0.626 0.123 0.626
3 Ag 0.123 0.626 0.626
4 Ag 0.626 0.626 0.626
5 Cd 0.000 0.000 0.000
6 Nd 0.250 0.250 0.250

An optimized crystal structure of Nd3Cd3AgPd2, computed with GGA-PBE.

Summary:
M_tot ... 0.01 μB/cell
Symmetry ... P-62m, No. 189
Energy of formation ... -0.584 eV/atom

Unit cell a=7.803 b=7.803 c=4.036 alpha=90.00 beta=90.00 gamma=120.00
Element x y z (fractional)
1 Ag 0.000 0.000 0.000
2 Cd 0.742 0.000 0.500
3 Cd 0.258 0.258 0.500
4 Cd 0.000 0.742 0.500
5 Nd 0.414 0.000 0.000
6 Nd 0.000 0.414 0.000
7 Nd 0.586 0.586 0.000
8 Pd 0.667 0.333 0.500
9 Pd 0.333 0.667 0.500

An optimized crystal structure of Nd3Cd3Ag2Pd, computed with GGA-PBE.

Summary:
M_tot ... 0.03 μB/cell
Symmetry ... P-62m, No. 189
Energy of formation ... -0.428 eV/atom

Unit cell a=7.806 b=7.806 c=4.122 alpha=90.00 beta=90.00 gamma=120.00
Element x y z (fractional)
1 Ag 0.667 0.333 0.500
2 Ag 0.333 0.667 0.500
3 Cd 0.750 0.000 0.500
4 Cd 0.250 0.250 0.500
5 Cd 0.000 0.750 0.500
6 Nd 0.399 0.000 0.000
7 Nd 0.000 0.399 0.000
8 Nd 0.601 0.601 0.000
9 Pd 0.000 0.000 0.000

An optimized crystal structure of PrNdCd2Ag4, computed with GGA-PBE.

Summary:
M_tot ... 0.04 μB/cell
Symmetry ... P4/mmm, No. 123
Energy of formation ... -0.283 eV/atom

Unit cell a=5.061 b=5.061 c=7.164 alpha=90.00 beta=90.00 gamma=90.00
Element x y z (fractional)
1 Ag 0.500 0.000 0.249
2 Ag 0.000 0.500 0.249
3 Ag 0.500 0.000 0.751
4 Ag 0.000 0.500 0.751
5 Cd 0.500 0.500 0.000
6 Cd 0.000 0.000 0.500
7 Nd 0.000 0.000 0.000
8 Pr 0.500 0.500 0.500

An optimized crystal structure of PrNd2Cd3Ag3, computed with GGA-PBE.

Summary:
M_tot ... 0.02 μB/cell
Symmetry ... Amm2, No. 38
Energy of formation ... -0.335 eV/atom

Unit cell a=4.030 b=8.016 c=8.016 alpha=120.01 beta=90.00 gamma=90.00
Element x y z (fractional)
1 Ag 0.500 0.668 0.333
2 Ag 0.500 0.333 0.668
3 Ag 0.000 0.000 0.000
4 Cd 0.500 0.999 0.259
5 Cd 0.500 0.741 0.741
6 Cd 0.500 0.259 0.999
7 Nd 0.000 0.594 0.000
8 Nd 0.000 0.000 0.594
9 Pr 0.000 0.406 0.406

An optimized crystal structure of Nd3Cd3Ag2Pt, computed with GGA-PBE.

Summary:
M_tot ... 0.06 μB/cell
Symmetry ... P-62m, No. 189
Energy of formation ... -0.471 eV/atom

Unit cell a=7.740 b=7.740 c=4.257 alpha=90.00 beta=90.00 gamma=120.00
Element x y z (fractional)
1 Ag 0.667 0.333 0.500
2 Ag 0.333 0.667 0.500
3 Cd 0.752 0.000 0.500
4 Cd 0.248 0.248 0.500
5 Cd 0.000 0.752 0.500
6 Nd 0.395 0.000 0.000
7 Nd 0.000 0.395 0.000
8 Nd 0.605 0.605 0.000
9 Pt 0.000 0.000 0.000

An optimized crystal structure of NdYCd2Ag4, computed with GGA-PBE.

Summary:
M_tot ... 0.04 μB/cell
Symmetry ... P4/mmm, No. 123
Energy of formation ... -0.291 eV/atom

Unit cell a=5.002 b=5.002 c=7.060 alpha=90.00 beta=90.00 gamma=90.00
Element x y z (fractional)
1 Ag 0.500 0.000 0.259
2 Ag 0.000 0.500 0.259
3 Ag 0.500 0.000 0.741
4 Ag 0.000 0.500 0.741
5 Cd 0.500 0.500 0.000
6 Cd 0.000 0.000 0.500
7 Nd 0.000 0.000 0.000
8 Y 0.500 0.500 0.500